Record 1
MgHg3Os PBE-GGA relaxed; Fermi-level density of states = 4.458 states/eV/cell; DFT formation energy = 0.761 eV per atom; space group = Pm-3m (221); volume = 145.0 Å³/cell; E = -1.99 eV per atom; polymorph energy (0 for the lowest one) = 0 meV/atom
1.0
5.253 0.000 0.000
0.000 5.253 0.000
0.000 0.000 5.253
Hg Os Mg
3 1 1
Direct
0.500 0.000 0.000
0.000 0.500 0.000
0.000 0.000 0.500
0.000 0.000 0.000
0.500 0.500 0.500

---

Record 2
MgHg2Os PBE-GGA relaxed; Fermi-level density of states = 3.807 states/eV/cell; DFT formation energy = 0.419 eV per atom; space group = P4mm (99); volume = 77.7 Å³/cell; E = -2.94 eV per atom
1.0
2.981 0.000 0.000
0.000 2.981 0.000
0.000 0.000 8.746
Mg Os Hg
1 1 2
Direct
0.000 0.000 0.531
0.500 0.500 0.735
0.000 0.000 0.968
0.500 0.500 0.265

---

Record 3
Mg2HgOs PBE-GGA relaxed; Fermi-level density of states = 3.093 states/eV/cell; DFT formation energy = 0.389 eV per atom; space group = P4mm (99); volume = 75.6 Å³/cell; E = -3.29 eV per atom
1.0
2.964 0.000 0.000
0.000 2.964 0.000
0.000 0.000 8.606
Os Mg Hg
1 2 1
Direct
0.000 0.000 0.493
0.500 0.500 0.286
0.000 0.000 0.988
0.500 0.500 0.733

---

Record 4
Mg2HgOs PBE-GGA relaxed; Fermi-level density of states = 1.353 states/eV/cell; DFT formation energy = 0.210 eV per atom; space group = Cm (8); volume = 71.6 Å³/cell; E = -3.47 eV per atom
1.0
5.176 0.009 0.014
4.379 2.761 0.014
0.699 0.203 5.025
Os Mg Hg
1 2 1
Direct
0.504 0.504 0.535
0.991 0.991 0.024
0.765 0.765 0.710
0.240 0.240 0.230